Entry 1:
Mg2MoRu GGA-PBEsol optimized geometry; calculated total energy = -6.315 eV per atom; ΔH_f (0 K) = 28 meV per atom
1.0
3.052 0.000 0.000
0.000 3.052 0.000
0.000 0.000 7.226
Mg Ru Mo
2 1 1
Direct
0.500 0.500 0.274
0.000 0.000 0.966
0.500 0.500 0.725
0.000 0.000 0.536


Entry 2:
NiH8I2O10 GGA-PBEsol optimized geometry; calculated total energy = -5.003 eV per atom
1.0
6.255 0.000 0.000
0.000 8.154 0.012
0.000 -1.311 8.153
O I H Ni
20 4 16 2
Direct
0.714 0.112 0.975
0.417 0.344 0.942
0.917 0.656 0.558
0.583 0.656 0.058
0.214 0.888 0.525
0.786 0.112 0.475
0.098 0.074 0.794
0.598 0.926 0.706
0.621 0.346 0.245
0.121 0.654 0.255
0.911 0.762 0.893
0.402 0.074 0.294
0.083 0.344 0.442
0.286 0.888 0.025
0.089 0.238 0.107
0.902 0.926 0.206
0.879 0.346 0.745
0.589 0.762 0.393
0.411 0.238 0.607
0.379 0.654 0.755
0.309 0.660 0.972
0.191 0.660 0.472
0.691 0.340 0.028
0.809 0.340 0.528
0.496 0.163 0.263
0.126 0.992 0.692
0.389 0.262 0.729
0.374 0.992 0.192
0.874 0.008 0.308
0.279 0.274 0.551
0.779 0.726 0.949
0.611 0.738 0.271
0.004 0.163 0.763
0.626 0.008 0.808
0.889 0.738 0.771
0.504 0.837 0.737
0.721 0.726 0.449
0.221 0.274 0.051
0.111 0.262 0.229
0.996 0.837 0.237
0.500 0.000 0.500
0.000 0.000 0.000